No. 1
DFT (PBE-GGA) results for CuSbIrOs after structural relaxation.

Unit cell a=6.3089 b=6.3089 c=6.3089 alpha=90.00 beta=90.00 gamma=90.00
Closest atoms and distances in Å follow each position.
Space group F-43m (No. 216)
Inequivalent atoms, fractional coordinates:
Cu 0.0000 0.0000 0.0000 [4 per cell]  4 Sb 2.73, 4 Ir 2.73
Sb 0.2500 0.2500 0.7500 [4 per cell]  4 Os 2.73, 4 Cu 2.73
Ir 0.2500 0.2500 0.2500 [4 per cell]  4 Os 2.73, 4 Cu 2.73
Os 0.0000 0.0000 0.5000 [4 per cell]  4 Ir 2.73, 4 Sb 2.73

Properties
E above lowest polymorph: 0.000 eV per atom
Calculated volume: 63 Å³/f.u.



No. 2
DFT (PBE-GGA) results for TbGaIr after structural relaxation.

Unit cell a=4.7165 b=4.7165 c=6.1620 alpha=90.00 beta=90.00 gamma=90.00
Closest atoms and distances in Å follow each position.
Space group P4/nmm (No. 129, origin choice 2)
Inequivalent atoms, fractional coordinates:
Tb 0.2500 0.7500 0.0000 [2 per cell]  4 Ir 2.83
Ga 0.2500 0.2500 0.3502 [2 per cell]  1 Ir 2.43
Ir 0.2500 0.2500 0.7449 [2 per cell]  1 Ga 2.43

Properties
Calculated volume: 69 Å³/f.u.
Calculated total energy: -5.7969 eV/atom



No. 3
DFT (PBE-GGA) results for NpNbCo after structural relaxation.

Unit cell a=6.0282 b=6.0282 c=6.0282 alpha=90.00 beta=90.00 gamma=90.00
Closest atoms and distances in Å follow each position.
Space group F-43m (No. 216)
Inequivalent atoms, fractional coordinates:
Np 0.0000 0.0000 0.0000 [4 per cell]  4 Co 2.61
Nb 0.0000 0.0000 0.5000 [4 per cell]  4 Co 2.61
Co 0.2500 0.2500 0.7500 [4 per cell]  4 Nb 2.61, 4 Np 2.61

Properties
E above lowest polymorph: 0.000 eV per atom
Calculated volume: 55 Å³/f.u.
Calculated formation energy: 551 meV/atom



No. 4
DFT (PBE-GGA) results for Pa3Bi4 after structural relaxation.

Unit cell a=9.4252 b=9.4252 c=9.4252 alpha=90.00 beta=90.00 gamma=90.00
Closest atoms and distances in Å follow each position.
Space group I-43d (No. 220)
Inequivalent atoms, fractional coordinates:
Pa 0.0000 0.2500 0.8750 [12 per cell]  8 Bi 3.22-3.31
Bi 0.0787 0.4213 0.5787 [16 per cell]  6 Pa 3.22-3.31, 3 Bi 3.55

Properties
Calculated volume: 209 Å³/f.u.
Calculated total energy: -6.5598 eV/atom



No. 5
DFT (PBE-GGA) results for PrCoPd after structural relaxation.

Unit cell a=6.5264 b=6.5264 c=6.5264 alpha=90.00 beta=90.00 gamma=90.00
Closest atoms and distances in Å follow each position.
Space group F-43m (No. 216)
Inequivalent atoms, fractional coordinates:
Pr 0.0000 0.0000 0.0000 [4 per cell]  4 Pd 2.83
Co 0.0000 0.0000 0.5000 [4 per cell]  4 Pd 2.83
Pd 0.2500 0.2500 0.2500 [4 per cell]  4 Co 2.83, 4 Pr 2.83

Properties
Calculated volume: 69 Å³/f.u.
Calculated formation energy: 93 meV/atom



No. 6
DFT (PBE-GGA) results for Ta4As2CN after structural relaxation.

Unit cell a=3.3255 b=3.3255 c=11.9287 alpha=90.00 beta=90.00 gamma=120.00
Closest atoms and distances in Å follow each position.
Space group P-3m1 (No. 164)
Inequivalent atoms, fractional coordinates:
Ta 0.3333 0.6667 0.0941 [2 per cell]  3 C 2.22
Ta 0.3333 0.6667 0.4086 [2 per cell]  3 N 2.21
As 0.3333 0.6667 0.7477 [2 per cell]  6 Ta 2.68-2.69
C 0.0000 0.0000 0.0000 [1 per cell]  6 Ta 2.22
N 0.0000 0.0000 0.5000 [1 per cell]  6 Ta 2.21

Properties
Calculated volume: 114 Å³/f.u.
Calculated total energy: -9.8569 eV/atom



Q: Which value of calculated volume does entry 2 give?
A: 69 Å³/f.u.



What did the second record say?
DFT (PBE-GGA) results for TbGaIr after structural relaxation.

Unit cell a=4.7165 b=4.7165 c=6.1620 alpha=90.00 beta=90.00 gamma=90.00
Closest atoms and distances in Å follow each position.
Space group P4/nmm (No. 129, origin choice 2)
Inequivalent atoms, fractional coordinates:
Tb 0.2500 0.7500 0.0000 [2 per cell]  4 Ir 2.83
Ga 0.2500 0.2500 0.3502 [2 per cell]  1 Ir 2.43
Ir 0.2500 0.2500 0.7449 [2 per cell]  1 Ga 2.43

Properties
Calculated volume: 69 Å³/f.u.
Calculated total energy: -5.7969 eV/atom



Q: The lowest calculated volume belongs to which entry?
A: NpNbCo